# 1
Here is an optimized crystal structure of Nd12Sm5Tl2 from Alexandria via LeMat-Bulk. Energies are from PBE.

a = 9.4972 Å, b = 9.1799 Å, c = 8.6897 Å
α = 92.85°, β = 90.00°, γ = 121.15°
Sites, in units of the cell vectors:
Nd: 0.5697 0.7526 0.3407
Nd: 0.3332 0.2978 0.2352
Nd: 0.0354 0.7022 0.7648
Nd: 0.4303 0.2474 0.6593
Nd: 0.1829 0.7526 0.3407
Nd: 0.0810 0.1621 0.8839
Nd: 0.6668 0.7022 0.7648
Nd: 0.8171 0.2474 0.6593
Nd: 0.9190 0.8379 0.1161
Nd: 0.9646 0.2978 0.2352
Nd: 0.4439 0.8878 0.6824
Nd: 0.5561 0.1122 0.3176
Tl: 0.6841 0.0000 0.0000
Tl: 0.3159 0.0000 0.0000
Sm: 0.0000 0.0000 0.5000
Sm: 0.3140 0.6281 0.9941
Sm: 0.6860 0.3719 0.0059
Sm: 0.2328 0.4656 0.5849
Sm: 0.7672 0.5344 0.4151

Computed properties:
density	7.4	g cm⁻³
DFT formation energy	4.2	meV/atom
crystal system	monoclinic
calculated volume	647.3	Å³ per cell

# 2
Here is an optimized crystal structure of Nd2Sm5Tl4 from Alexandria via LeMat-Bulk. Energies are from PBE.

a = 3.5483 Å, b = 8.7837 Å, c = 10.7246 Å
α = 83.92°, β = 90.00°, γ = 90.00°
Sites, in units of the cell vectors:
Tl: 0.5000 0.7498 0.4201
Tl: 0.5000 0.2015 0.1144
Tl: 0.5000 0.2502 0.5799
Tl: 0.5000 0.7985 0.8856
Nd: 0.0000 0.9133 0.6390
Nd: 0.0000 0.0867 0.3610
Sm: 0.0000 0.5363 0.6668
Sm: 0.0000 0.8366 0.1429
Sm: 0.0000 0.5000 0.0000
Sm: 0.0000 0.4637 0.3332
Sm: 0.0000 0.1634 0.8571

Computed properties:
density	9.3	g cm⁻³
DFT formation energy	-183.2	meV/atom
crystal system	monoclinic
calculated volume	332.4	Å³ per cell

# 3
Here is an optimized crystal structure of Nd3Sm3Tl5 from Alexandria via LeMat-Bulk. Energies are from PBE.

a = 5.6831 Å, b = 9.4684 Å, c = 9.4684 Å
α = 120.00°, β = 90.00°, γ = 90.00°
Sites, in units of the cell vectors:
Sm: 0.0000 0.0000 0.5563
Sm: 0.0000 0.5563 0.0000
Sm: 0.0000 0.4437 0.4437
Nd: 0.5000 0.0000 0.3007
Nd: 0.5000 0.3007 0.0000
Nd: 0.5000 0.6993 0.6993
Tl: 0.5000 0.6667 0.3333
Tl: 0.5000 0.6647 0.0000
Tl: 0.5000 0.0000 0.6647
Tl: 0.5000 0.3353 0.3353
Tl: 0.5000 0.3333 0.6667

Computed properties:
density	7.2	g cm⁻³
DFT formation energy	269.8	meV/atom
crystal system	hexagonal
calculated volume	441.2	Å³ per cell

# 4
Here is an optimized crystal structure of NdSm8Tl6 from Alexandria via LeMat-Bulk. Energies are from PBE.

a = 9.3018 Å, b = 9.3018 Å, c = 8.4998 Å
α = 56.83°, β = 56.83°, γ = 60.00°
Sites, in units of the cell vectors:
Tl: 0.2756 0.6035 0.1815
Tl: 0.9394 0.2756 0.1815
Tl: 0.0606 0.7244 0.8185
Tl: 0.3965 0.0606 0.8185
Tl: 0.6035 0.9394 0.1815
Tl: 0.7244 0.3965 0.8185
Sm: 0.7788 0.1116 0.6668
Sm: 0.8884 0.5573 0.3332
Sm: 0.4427 0.7788 0.6668
Sm: 0.2212 0.8884 0.3332
Sm: 0.3328 0.3328 0.0016
Sm: 0.5573 0.2212 0.3332
Sm: 0.1116 0.4427 0.6668
Sm: 0.6672 0.6672 0.9984
Nd: 0.0000 0.0000 0.0000

Computed properties:
density	8.7	g cm⁻³
DFT formation energy	-156.2	meV/atom
crystal system	trigonal
calculated volume	493.7	Å³ per cell